Here is MnInIr2 after structural relaxation from the Alexandria database. Energies are from PBE.

Calculated values
Space group = No. 44
ΔH_f (0 K) = 0.39 eV/f.u.
Total DFT energy (no corrections) = -29.2 eV for the cell shown

abc: 5.3468 5.3468 5.3468
angles: 146.65 130.55 60.96
With the nearest neighbours (Å) after each atom.
Atoms (fractional coordinates):
In 0.2549 0.7549 0.5000  6 Ir 2.72-2.83, 2 Mn 2.81
Ir 0.7370 0.2370 0.5000  2 Mn 2.59, 4 In 2.72, 2 Ir 2.85
Mn 0.5108 0.5108 0.0000  6 Ir 2.59-2.71, 2 In 2.81
Ir 0.9973 0.9973 0.0000  4 Mn 2.71, 2 In 2.83, 2 Ir 2.85